Density functional theory data (PBE-GGA) for SmDy12Tm5 after structural relaxation.

Computed properties:
Uncorrected energy = -4.551 eV/atom
Spin magnetization = 0.000 μB per formula unit
Space group = No. 10
DFT formation energy = 0.02 eV per atom

Cell: 14.9627 10.5847 4.9898 Å, 90.00 90.00 45.09°
With the nearest neighbours (Å) after each atom.
Atoms (fractional coordinates):
Dy1 0.6659 0.3346 0.9999  8 Dy 3.52-3.54, 3 Tm 3.52-3.53, 1 Sm 3.54
Dy2 0.5007 0.6672 0.5001  4 Tm 3.51-3.52, 8 Dy 3.53-3.55
Dy3 0.1680 0.3327 0.5001  4 Tm 3.51-3.52, 8 Dy 3.53-3.56
Dy4 0.8320 0.6673 0.4999  4 Tm 3.51-3.52, 8 Dy 3.53-3.56
Dy5 0.6657 0.0000 0.9999  4 Tm 3.52, 8 Dy 3.53-3.55
Dy6 0.8326 0.0000 0.4999  8 Dy 3.53-3.54, 2 Sm 3.53-3.54, 2 Tm 3.55
Dy7 0.9995 0.3346 0.0001  8 Dy 3.51-3.55, 3 Tm 3.53, 1 Sm 3.54
Dy8 0.3343 0.0000 0.0001  4 Tm 3.52, 8 Dy 3.53-3.55
Dy9 0.0005 0.6654 0.9999  8 Dy 3.51-3.55, 3 Tm 3.53, 1 Sm 3.54
Dy10 0.4993 0.3328 0.4999  4 Tm 3.51-3.52, 8 Dy 3.53-3.55
Dy11 0.1674 0.0000 0.5001  8 Dy 3.53-3.54, 2 Sm 3.53-3.54, 2 Tm 3.55
Dy12 0.3341 0.6654 0.0001  8 Dy 3.52-3.54, 3 Tm 3.52-3.53, 1 Sm 3.54
Sm1 0.0000 0.0000 0.0000  8 Dy 3.53-3.54, 4 Tm 3.54
Tm1 0.6666 0.6668 0.0000  8 Dy 3.52-3.53, 4 Tm 3.52-3.53
Tm2 0.8323 0.3353 0.5000  8 Dy 3.51-3.55, 2 Tm 3.52, 2 Sm 3.54
Tm3 0.5000 0.0000 0.5000  8 Dy 3.52, 4 Tm 3.53
Tm4 0.1677 0.6647 0.5000  8 Dy 3.51-3.55, 2 Tm 3.52, 2 Sm 3.54
Tm5 0.3334 0.3332 0.0000  8 Dy 3.52-3.53, 4 Tm 3.52-3.53